No. 1
Entry from the Alexandria database: an optimized crystal structure of NaH2I (PBE).

Output
The volume comes out at 24.07 A^3/atom. The symmetry is P2_1/m, No. 11. The final energy comes out at -3.02 eV per atom.

Geometry as CIF:
```
data_NaH2I
_chemical_formula_sum 'Na2 H4 I2'
_cell_length_a 4.423
_cell_length_b 4.532
_cell_length_c 9.684
_cell_angle_alpha 90.00
_cell_angle_beta 97.28
_cell_angle_gamma 90.00
_symmetry_space_group_name_H-M 'P 1'
_symmetry_Int_Tables_number 1
_symmetry_space_group_name_Hall 'P 1'
loop_
_atom_site_label
_atom_site_type_symbol
_atom_site_fract_x
_atom_site_fract_y
_atom_site_fract_z
_atom_site_occupancy
Na1 Na 0.208 0.250 0.352 1
Na2 Na 0.792 0.750 0.648 1
H1 H 0.169 0.167 0.080 1
H2 H 0.169 0.333 0.080 1
H3 H 0.831 0.667 0.920 1
H4 H 0.831 0.833 0.920 1
I1 I 0.300 0.250 0.683 1
I2 I 0.700 0.750 0.317 1
```

---

No. 2
Entry from the Alexandria database: an optimized crystal structure of Na6H5I (PBE).

Output
The volume comes out at 18.01 A^3/atom. The symmetry is C2/m, No. 12. The final energy comes out at -2.48 eV per atom.

Geometry as CIF:
```
data_Na6H5I
_chemical_formula_sum 'Na6 H5 I1'
_cell_length_a 6.495
_cell_length_b 6.495
_cell_length_c 6.313
_cell_angle_alpha 99.54
_cell_angle_beta 99.54
_cell_angle_gamma 120.53
_symmetry_space_group_name_H-M 'P 1'
_symmetry_Int_Tables_number 1
_symmetry_space_group_name_Hall 'P 1'
loop_
_atom_site_label
_atom_site_type_symbol
_atom_site_fract_x
_atom_site_fract_y
_atom_site_fract_z
_atom_site_occupancy
Na1 Na 0.017 0.410 0.247 1
Na2 Na 0.216 0.216 0.793 1
Na3 Na 0.410 0.017 0.247 1
Na4 Na 0.590 0.983 0.753 1
Na5 Na 0.784 0.784 0.207 1
Na6 Na 0.983 0.590 0.753 1
H1 H 0.000 0.000 0.000 1
H2 H 0.170 0.830 0.500 1
H3 H 0.326 0.674 0.000 1
H4 H 0.674 0.326 0.000 1
H5 H 0.830 0.170 0.500 1
I1 I 0.500 0.500 0.500 1
```

---

No. 3
Entry from the Alexandria database: an optimized crystal structure of NaHI3 (PBE).

Output
The volume comes out at 45.64 A^3/atom. The symmetry is Pm-3m, No. 221. The final energy comes out at -1.54 eV per atom.

Geometry as CIF:
```
data_NaHI3
_chemical_formula_sum 'Na1 H1 I3'
_cell_length_a 6.111
_cell_length_b 6.111
_cell_length_c 6.111
_cell_angle_alpha 90.00
_cell_angle_beta 90.00
_cell_angle_gamma 90.00
_symmetry_space_group_name_H-M 'P 1'
_symmetry_Int_Tables_number 1
_symmetry_space_group_name_Hall 'P 1'
loop_
_atom_site_label
_atom_site_type_symbol
_atom_site_fract_x
_atom_site_fract_y
_atom_site_fract_z
_atom_site_occupancy
Na1 Na 0.000 0.000 0.000 1
H1 H 0.500 0.500 0.500 1
I1 I 0.000 0.000 0.500 1
I2 I 0.000 0.500 0.000 1
I3 I 0.500 0.000 0.000 1
```

---

No. 4
Entry from the Alexandria database: an optimized crystal structure of Na3H2I4 (PBE).

Output
The volume comes out at 31.72 A^3/atom. The symmetry is C2/c, No. 15. The final energy comes out at -2.61 eV per atom.

Geometry as CIF:
```
data_Na3H2I4
_chemical_formula_sum 'Na6 H4 I8'
_cell_length_a 8.877
_cell_length_b 8.877
_cell_length_c 8.066
_cell_angle_alpha 94.46
_cell_angle_beta 94.46
_cell_angle_gamma 64.44
_symmetry_space_group_name_H-M 'P 1'
_symmetry_Int_Tables_number 1
_symmetry_space_group_name_Hall 'P 1'
loop_
_atom_site_label
_atom_site_type_symbol
_atom_site_fract_x
_atom_site_fract_y
_atom_site_fract_z
_atom_site_occupancy
Na1 Na 0.098 0.902 0.750 1
Na2 Na 0.183 0.396 0.292 1
Na3 Na 0.396 0.183 0.792 1
Na4 Na 0.604 0.817 0.208 1
Na5 Na 0.817 0.604 0.708 1
Na6 Na 0.902 0.098 0.250 1
H1 H 0.038 0.510 0.993 1
H2 H 0.490 0.962 0.507 1
H3 H 0.510 0.038 0.493 1
H4 H 0.962 0.490 0.007 1
I1 I 0.056 0.240 0.571 1
I2 I 0.240 0.056 0.071 1
I3 I 0.306 0.534 0.978 1
I4 I 0.466 0.694 0.522 1
I5 I 0.534 0.306 0.478 1
I6 I 0.694 0.466 0.022 1
I7 I 0.760 0.944 0.929 1
I8 I 0.944 0.760 0.429 1
```

---

No. 5
Entry from the Alexandria database: an optimized crystal structure of NaH2I (PBE).

Output
The volume comes out at 19.20 A^3/atom. The symmetry is I-42d, No. 122. The final energy comes out at -1.91 eV per atom.

Geometry as CIF:
```
data_NaH2I
_chemical_formula_sum 'Na2 H4 I2'
_cell_length_a 6.212
_cell_length_b 6.212
_cell_length_c 6.212
_cell_angle_alpha 125.38
_cell_angle_beta 125.38
_cell_angle_gamma 80.91
_symmetry_space_group_name_H-M 'P 1'
_symmetry_Int_Tables_number 1
_symmetry_space_group_name_Hall 'P 1'
loop_
_atom_site_label
_atom_site_type_symbol
_atom_site_fract_x
_atom_site_fract_y
_atom_site_fract_z
_atom_site_occupancy
Na1 Na 0.000 0.000 0.000 1
Na2 Na 0.750 0.250 0.500 1
H1 H 0.103 0.625 0.978 1
H2 H 0.375 0.353 0.478 1
H3 H 0.647 0.125 0.022 1
H4 H 0.875 0.897 0.522 1
I1 I 0.250 0.750 0.500 1
I2 I 0.500 0.500 0.000 1
```

---

No. 6
Entry from the Alexandria database: an optimized crystal structure of NaH2I (PBE).

Output
The volume comes out at 15.50 A^3/atom. The symmetry is Fm-3m, No. 225. The final energy comes out at -2.00 eV per atom.

Geometry as CIF:
```
data_NaH2I
_chemical_formula_sum 'Na1 H2 I1'
_cell_length_a 4.443
_cell_length_b 4.443
_cell_length_c 4.443
_cell_angle_alpha 60.00
_cell_angle_beta 60.00
_cell_angle_gamma 60.00
_symmetry_space_group_name_H-M 'P 1'
_symmetry_Int_Tables_number 1
_symmetry_space_group_name_Hall 'P 1'
loop_
_atom_site_label
_atom_site_type_symbol
_atom_site_fract_x
_atom_site_fract_y
_atom_site_fract_z
_atom_site_occupancy
Na1 Na 0.000 0.000 0.000 1
H1 H 0.250 0.250 0.250 1
H2 H 0.750 0.750 0.750 1
I1 I 0.500 0.500 0.500 1
```

---

No. 7
Entry from the Alexandria database: an optimized crystal structure of Na3HI3 (PBE).

Output
The volume comes out at 33.78 A^3/atom. The symmetry is C2/m, No. 12. The final energy comes out at -2.42 eV per atom.

Geometry as CIF:
```
data_Na3HI3
_chemical_formula_sum 'Na6 H2 I6'
_cell_length_a 7.910
_cell_length_b 7.910
_cell_length_c 8.535
_cell_angle_alpha 90.14
_cell_angle_beta 90.14
_cell_angle_gamma 117.68
_symmetry_space_group_name_H-M 'P 1'
_symmetry_Int_Tables_number 1
_symmetry_space_group_name_Hall 'P 1'
loop_
_atom_site_label
_atom_site_type_symbol
_atom_site_fract_x
_atom_site_fract_y
_atom_site_fract_z
_atom_site_occupancy
Na1 Na 0.107 0.107 0.240 1
Na2 Na 0.116 0.491 0.753 1
Na3 Na 0.491 0.116 0.753 1
Na4 Na 0.509 0.884 0.247 1
Na5 Na 0.884 0.509 0.247 1
Na6 Na 0.893 0.893 0.760 1
H1 H 0.299 0.299 0.040 1
H2 H 0.701 0.701 0.960 1
I1 I 0.167 0.833 0.500 1
I2 I 0.179 0.821 0.000 1
I3 I 0.485 0.485 0.263 1
I4 I 0.515 0.515 0.737 1
I5 I 0.821 0.179 0.000 1
I6 I 0.833 0.167 0.500 1
```

---

No. 8
Entry from the Alexandria database: an optimized crystal structure of Na4H12I (PBE).

Output
The volume comes out at 16.69 A^3/atom. The symmetry is P-1, No. 2. The final energy comes out at -2.83 eV per atom.

Geometry as CIF:
```
data_Na4H12I
_chemical_formula_sum 'Na4 H12 I1'
_cell_length_a 6.625
_cell_length_b 6.826
_cell_length_c 6.870
_cell_angle_alpha 74.70
_cell_angle_beta 75.36
_cell_angle_gamma 74.99
_symmetry_space_group_name_H-M 'P 1'
_symmetry_Int_Tables_number 1
_symmetry_space_group_name_Hall 'P 1'
loop_
_atom_site_label
_atom_site_type_symbol
_atom_site_fract_x
_atom_site_fract_y
_atom_site_fract_z
_atom_site_occupancy
Na1 Na 0.000 0.000 0.000 1
Na2 Na 0.000 0.500 0.500 1
Na3 Na 0.500 0.000 0.500 1
Na4 Na 0.500 0.500 0.000 1
H1 H 0.043 0.386 0.880 1
H2 H 0.151 0.403 0.893 1
H3 H 0.386 0.050 0.877 1
H4 H 0.386 0.379 0.547 1
H5 H 0.406 0.396 0.648 1
H6 H 0.408 0.151 0.893 1
H7 H 0.592 0.849 0.107 1
H8 H 0.594 0.604 0.352 1
H9 H 0.614 0.621 0.453 1
H10 H 0.614 0.950 0.123 1
H11 H 0.849 0.597 0.107 1
H12 H 0.957 0.614 0.120 1
I1 I 0.000 0.000 0.500 1
```